# 1
Computed, not measured: K2MgPb after structural relaxation at the PBE-GGA level of DFT.

Properties
Its calculated formation energy is -6 meV per atom.

a = 4.0067 Å, b = 5.4044 Å, c = 7.6560 Å
α = 90.00°, β = 104.86°, γ = 90.00°
Last column: nearest neighbours and their distance in Å.
Space group Pm (No. 6)
Unique sites:
K (0.0000, 0.0000, 0.0000) x1  3 Pb 3.76-4.21, 4 Mg 3.81-3.82, 4 K 4.01-4.20
K (0.3221, 0.5000, 0.6568) x1  2 Mg 3.66, 4 Pb 3.76, 2 K 4.01
Mg (0.6211, 0.5000, 0.2428) x1  2 Pb 3.04
Pb (0.7104, 0.0000, 0.4306) x1  2 Mg 3.04

---

# 2
Computed, not measured: KMg2Pb after structural relaxation at the PBE-GGA level of DFT.

Properties
Its calculated formation energy is 107 meV per atom.

a = 3.6768 Å, b = 5.9104 Å, c = 11.4529 Å
α = 90.00°, β = 90.00°, γ = 90.00°
Last column: nearest neighbours and their distance in Å.
Space group Imm2 (No. 44)
Unique sites:
K (0.0000, 0.0000, 0.0000) x2  8 Mg 3.48-3.86, 2 Pb 3.63, 2 K 3.68
Mg (0.0000, 0.0000, 0.5084) x2  2 Pb 3.10, 2 Mg 3.16
Mg (0.0000, 0.5000, 0.7837) x2  2 Mg 3.16, 4 Pb 3.54
Pb (0.0000, 0.5000, 0.2266) x2  2 Mg 3.10

---

# 3
Computed, not measured: KMg2Pb8 after structural relaxation at the PBE-GGA level of DFT.

Properties
Its calculated formation energy is 125 meV per atom.

a = 6.7852 Å, b = 6.7852 Å, c = 9.3076 Å
α = 90.00°, β = 90.00°, γ = 90.00°
Last column: nearest neighbours and their distance in Å.
Space group P4/mmm (No. 123)
Unique sites:
K (0.0000, 0.0000, 0.0000) x1  8 Pb 3.71
Mg (0.0000, 0.5000, 0.5000) x2  8 Pb 3.03
Pb (0.2536, 0.2536, 0.3015) x8  2 Mg 3.03, 2 Pb 3.34

---

# 4
Computed, not measured: K2MgPb after structural relaxation at the PBE-GGA level of DFT.

Properties
Its calculated formation energy is -104 meV per atom.

a = 5.3348 Å, b = 5.3348 Å, c = 19.1337 Å
α = 90.00°, β = 90.00°, γ = 120.00°
Last column: nearest neighbours and their distance in Å.
Space group R3m (No. 160, hexagonal axes)
Unique sites:
K (0.0000, 0.0000, 0.0000) x3  3 Mg 3.67, 3 Pb 3.70, 4 K 3.83-4.10
K (0.0000, 0.0000, 0.2142) x3  3 Pb 3.70, 3 Mg 3.73, 4 K 3.83-4.10
Mg (0.0000, 0.0000, 0.7713) x3  3 Pb 3.08
Pb (0.0000, 0.0000, 0.4407) x3  3 Mg 3.08

---

# 5
Computed, not measured: K3Mg2Pb2 after structural relaxation at the PBE-GGA level of DFT.

Properties
Its calculated formation energy is -88 meV per atom.

a = 7.2243 Å, b = 9.2986 Å, c = 15.8521 Å
α = 90.00°, β = 90.00°, γ = 90.00°
Last column: nearest neighbours and their distance in Å.
Space group Pbcm (No. 57)
Unique sites:
K (0.1082, 0.1125, 0.1033) x8  3 Pb 3.62-4.01, 4 Mg 3.81-3.91
K (0.3173, 0.7261, 0.7500) x4  5 Pb 3.56-3.98, 4 Mg 3.69-3.83
Mg (0.3989, 0.0331, 0.5929) x8  3 Pb 2.97-3.03
Pb (0.1895, 0.0963, 0.7500) x4  2 Mg 2.97
Pb (0.3661, 0.7500, 0.0000) x4  4 Mg 3.02-3.03

---

# 6
Computed, not measured: KMg2Pb after structural relaxation at the PBE-GGA level of DFT.

Properties
Its calculated formation energy is 71 meV per atom.

a = 5.4777 Å, b = 5.4777 Å, c = 7.7758 Å
α = 90.00°, β = 90.00°, γ = 90.00°
Last column: nearest neighbours and their distance in Å.
Space group I-4m2 (No. 119)
Unique sites:
K (0.0000, 0.0000, 0.0000) x2  4 Pb 3.36, 4 Mg 3.36
Mg (0.0000, 0.0000, 0.5000) x2  4 Pb 3.36, 4 Mg 3.36
Mg (0.0000, 0.5000, 0.7500) x2  4 K 3.36, 4 Mg 3.36
Pb (0.0000, 0.5000, 0.2500) x2  4 K 3.36, 4 Mg 3.36